CsFeAgF6 PBE with a Hubbard U optimized geometry; crystal system = monoclinic; energy above the most stable polymorph in this dataset = 188.0 meV per atom; volume = 178 Å³/f.u.; space group = C2 (5)
1.0
2.968 -4.860 0.000
2.968 4.860 0.000
-0.116 0.000 6.186
Cs Fe Ag F
1 1 1 6
Direct
0.000 0.000 0.000
0.659 0.341 0.500
0.329 0.671 0.500
0.374 0.026 0.660
0.405 0.381 0.316
0.619 0.595 0.684
0.662 0.082 0.314
0.918 0.338 0.686
0.974 0.626 0.340